No. 1
The following is a GGA-PBE calculation of an optimized crystal structure of Nd12Tm5Sc2, from the Alexandria database.

a = 9.0845 Å, b = 9.0845 Å, c = 8.1064 Å
α = 94.47°, β = 94.47°, γ = 72.08°
Closest atoms and distances in Å follow each position.
Fractional coordinates of all 19 atoms:
Nd1 0.0581 0.0581 0.2153  3 Tm 3.32-3.60, 2 Sc 3.47, 4 Nd 3.47-3.49
Nd2 0.1012 0.5429 0.7082  1 Sc 3.31, 2 Tm 3.45-3.58, 4 Nd 3.46-3.58
Nd3 0.1246 0.6639 0.1226  1 Sc 3.30, 4 Tm 3.44-3.57, 4 Nd 3.46-3.69
Nd4 0.3361 0.8754 0.8774  1 Sc 3.30, 4 Tm 3.44-3.57, 4 Nd 3.46-3.69
Nd5 0.3776 0.3776 0.4017  3 Tm 3.47-3.87, 2 Sc 3.53, 5 Nd 3.58-3.79
Nd6 0.4571 0.8988 0.2918  1 Sc 3.31, 2 Tm 3.45-3.58, 4 Nd 3.46-3.58
Nd7 0.5429 0.1012 0.7082  1 Sc 3.31, 2 Tm 3.45-3.58, 4 Nd 3.46-3.58
Nd8 0.6224 0.6224 0.5983  3 Tm 3.47-3.87, 2 Sc 3.53, 5 Nd 3.58-3.79
Nd9 0.6639 0.1246 0.1226  1 Sc 3.30, 4 Tm 3.44-3.57, 4 Nd 3.46-3.69
Nd10 0.8754 0.3361 0.8774  1 Sc 3.30, 4 Tm 3.44-3.57, 4 Nd 3.46-3.69
Nd11 0.8988 0.4571 0.2918  1 Sc 3.31, 2 Tm 3.45-3.58, 4 Nd 3.46-3.58
Nd12 0.9419 0.9419 0.7847  3 Tm 3.32-3.60, 2 Sc 3.47, 4 Nd 3.47-3.49
Tm1 0.1556 0.1556 0.6019  6 Nd 3.32-3.60, 2 Sc 3.33, 1 Tm 3.51
Tm2 0.2594 0.2594 0.0098  8 Nd 3.44-3.58, 2 Tm 3.51-3.54
Tm3 0.5000 0.5000 0.0000  6 Nd 3.47-3.87, 2 Tm 3.54
Tm4 0.7406 0.7406 0.9902  8 Nd 3.44-3.58, 2 Tm 3.51-3.54
Tm5 0.8444 0.8444 0.3981  6 Nd 3.32-3.60, 2 Sc 3.33, 1 Tm 3.51
Sc1 0.2209 0.7791 0.5000  8 Nd 3.30-3.53, 2 Tm 3.33
Sc2 0.7791 0.2209 0.5000  8 Nd 3.30-3.53, 2 Tm 3.33

Results
E_tot: -4.723 eV per atom
SG: C2/m, No. 12
Spin magnetization: 0.00 μB/f.u.



No. 2
The following is a GGA-PBE calculation of an optimized crystal structure of Si2AsIr, from the Alexandria database.

a = 6.5837 Å, b = 6.5837 Å, c = 6.5837 Å
α = 129.82°, β = 129.82°, γ = 73.70°
Closest atoms and distances in Å follow each position.
Fractional coordinates of all 8 atoms:
Si1 0.1049 0.6250 0.9799  2 Ir 2.31, 2 As 2.44
Si2 0.3750 0.3549 0.4799  2 Ir 2.31, 2 As 2.44
Si3 0.6451 0.1250 0.0201  2 Ir 2.31, 2 As 2.44
Si4 0.8750 0.8951 0.5201  2 Ir 2.31, 2 As 2.44
As1 0.2500 0.7500 0.5000  4 Si 2.44
As2 0.5000 0.5000 0.0000  4 Si 2.44
Ir1 0.0000 0.0000 0.0000  4 Si 2.31
Ir2 0.7500 0.2500 0.5000  4 Si 2.31

Results
E_tot: -6.172 eV per atom
SG: I-42d, No. 122
Uncorrected formation energy: -83 meV per atom
Spin magnetization: 0.00 μB/f.u.